1.
Compound: Pa2VRu
Source: the Alexandria database
Functional: PBE
Structure: relaxed

The space group is R-3m (No. 166, hexagonal axes) and the conventional cell measures 3.0146, 3.0146 and 29.6942 Å, with angles of 90.00, 90.00 and 120.00 degrees. The inequivalent atoms are Pa at (0.0000, 0.0000, 0.0874), V at (0.0000, 0.0000, 0.0000) and Ru at (0.0000, 0.0000, 0.5000).

As for the total magnetic moment: 0.003 μB/f.u. The calculation puts the density of states at the Fermi level at 5.7 states/eV/f.u. For the energy of formation from the pure elements, the calculation gives 299 meV per atom. The value obtained for the energy above the most stable polymorph in this dataset is 1.06 eV/f.u.

***

2.
Compound: Y2ScFe9
Source: the Alexandria database
Functional: PBE
Structure: relaxed

The space group is R-3m (No. 166, hexagonal axes) and the conventional cell measures 5.0340, 5.0340 and 24.1864 Å, with angles of 90.00, 90.00 and 120.00 degrees. The inequivalent atoms are Y at (0.0000, 0.0000, 0.1408), Sc at (0.0000, 0.0000, 0.0000), Fe at (0.0000, 0.0000, 0.3329), Fe at (0.0000, 0.0000, 0.5000) and Fe at (0.9999, 0.4999, 0.0802).

As for the total magnetic moment: 16.462 μB/f.u. The calculation puts the density of states at the Fermi level at 13.7 states/eV/f.u. For the energy of formation from the pure elements, the calculation gives -61 meV per atom.

***

3.
Compound: TbPmDyGa
Source: the Alexandria database
Functional: PBE
Structure: relaxed

The space group is F-43m (No. 216) and the conventional cell measures 7.581, 7.581 and 7.581 Å, with angles of 90.00, 90.00 and 90.00 degrees. The inequivalent atoms are Tb at (0.000, 0.000, 0.000), Pm at (0.250, 0.250, 0.750), Dy at (0.000, 0.000, 0.500) and Ga at (0.250, 0.250, 0.250).

As for the total magnetic moment: 1.321 μB/f.u. The calculation puts the density of states at the Fermi level at 5.7 states/eV/f.u. For the energy of formation from the pure elements, the calculation gives -43 meV per atom.

***

4.
Compound: KCdGa2F8
Source: the Alexandria database
Functional: PBE
Structure: relaxed

The space group is R-3 (No. 148, hexagonal axes) and the conventional cell measures 5.6358, 5.6358 and 22.2584 Å, with angles of 90.00, 90.00 and 120.00 degrees. The inequivalent atoms are K at (0.0000, 0.0000, 0.0000), Cd at (0.0000, 0.0000, 0.5000), Ga at (0.0000, 0.0000, 0.2494), F at (0.0000, 0.0000, 0.3307) and F at (0.0088, 0.6405, 0.4395).

The raw formation energy is -2.3746 eV per atom. As for the total magnetic moment: 0.000 μB/f.u. The calculation puts the density of states at the Fermi level at 2.0 states/eV/f.u.

***

5.
Compound: CaCr2In
Source: the Alexandria database
Functional: PBE
Structure: relaxed

The space group is I-42d (No. 122) and the conventional cell measures 8.064, 8.064 and 6.210 Å, with angles of 90.00, 90.00 and 90.00 degrees. The inequivalent atoms are Ca at (0.000, 0.000, 0.000), Cr at (0.214, 0.250, 0.625) and In at (0.000, 0.000, 0.500).

As for the total magnetic moment: 8.864 μB/f.u. The calculation puts the density of states at the Fermi level at 2.2 states/eV/f.u. For the energy of formation from the pure elements, the calculation gives 777 meV per atom.

***

6.
Compound: Tb6PrNd2Dy
Source: the Alexandria database
Functional: PBE
Structure: relaxed

The space group is C2/c (No. 15) and the conventional cell measures 9.111, 15.146 and 9.780 Å, with angles of 90.00, 98.62 and 90.00 degrees. The inequivalent atoms are Tb at (0.068, 0.190, 0.443), Tb at (0.098, 0.394, 0.620), Tb at (0.204, 0.224, 0.814), Pr at (0.000, 0.018, 0.750), Nd at (0.246, 0.051, 0.043) and Dy at (0.000, 0.407, 0.250).

As for the total magnetic moment: 0.000 μB/f.u. The calculation puts the density of states at the Fermi level at 14.5 states/eV/f.u. For the energy of formation from the pure elements, the calculation gives 116 meV per atom.

***

7.
Compound: Tl2SiO4
Source: the Alexandria database
Functional: PBE
Structure: relaxed

The space group is I4/mmm (No. 139) and the conventional cell measures 3.563, 3.563 and 14.904 Å, with angles of 90.00, 90.00 and 90.00 degrees. The inequivalent atoms are Tl at (0.000, 0.000, 0.144), Si at (0.000, 0.000, 0.500), O at (0.000, 0.000, 0.375) and O at (0.000, 0.500, 0.000).

The raw formation energy is -1.2242 eV per atom. As for the total magnetic moment: 0.000 μB/f.u. The calculation puts the density of states at the Fermi level at 3.4 states/eV/f.u.

***

8.
Compound: TaFeRe2Os
Source: the Alexandria database
Functional: PBE
Structure: relaxed

The space group is P4/mmm (No. 123) and the conventional cell measures 4.389, 4.389 and 4.389 Å, with angles of 90.00, 90.00 and 90.00 degrees. The inequivalent atoms are Ta at (0.000, 0.000, 0.000), Fe at (0.500, 0.500, 0.500), Re at (0.000, 0.500, 0.500) and Os at (0.500, 0.500, 0.000).

As for the total magnetic moment: 0.001 μB/f.u. The calculation puts the density of states at the Fermi level at 8.0 states/eV/f.u. For the energy of formation from the pure elements, the calculation gives 1324 meV per atom.